Entry 1:
Here is a relaxed structure of LaCd2Cl6 from Alexandria. Energies are from PBE-GGA.

Cell lengths 4.8879, 7.4133, 8.8094 Å; angles 107.08, 90.00, 109.25 degrees
With the nearest neighbours (Å) after each atom.
Fractional coordinates of all 9 atoms:
La 0.0000 0.0000 0.5000  6 Cl 2.78-2.95
Cd 0.7740 0.5479 0.8215  4 Cl 2.57-2.81
Cd 0.2260 0.4521 0.1785  4 Cl 2.57-2.81
Cl 0.9473 0.8946 0.7794  1 Cd 2.57, 1 La 2.78
Cl 0.8014 0.6028 0.1782  2 Cd 2.66
Cl 0.1986 0.3972 0.8218  2 Cd 2.66
Cl 0.6216 0.2433 0.5245  1 Cd 2.81, 2 La 2.95
Cl 0.3784 0.7567 0.4755  1 Cd 2.81, 2 La 2.95
Cl 0.0527 0.1054 0.2206  1 Cd 2.57, 1 La 2.78

Computed properties:
Uncorrected formation energy in kJ/mol of atoms: -137.1

***

Entry 2:
Here is a relaxed structure of LaMnCdCl2 from Alexandria. Energies are from PBE-GGA.

Cell lengths 4.8090, 5.5616, 4.8090 Å; angles 90.00, 90.00, 90.00 degrees
With the nearest neighbours (Å) after each atom.
Fractional coordinates of all 5 atoms:
Cl 0.0000 0.0000 0.5000  2 Mn 2.40
Cl 0.5000 0.0000 0.0000  2 Mn 2.40
Cd 0.0000 0.5000 0.0000  2 Mn 2.78
Mn 0.0000 0.0000 0.0000  4 Cl 2.40
La 0.5000 0.5000 0.5000  4 Cd 3.40, 8 Cl 3.68

Computed properties:
Uncorrected formation energy in kJ/mol of atoms: -46.0

***

Entry 3:
Here is a relaxed structure of NaLaCdCl6 from Alexandria. Energies are from PBE-GGA.

Cell lengths 7.0053, 7.0053, 12.5270 Å; angles 90.00, 90.00, 120.00 degrees
With the nearest neighbours (Å) after each atom.
Fractional coordinates of all 18 atoms:
Na 0.0000 0.0000 0.0000  6 Cl 2.93
Na 0.0000 0.0000 0.5000  6 Cl 2.93
La 0.3333 0.6667 0.2500  6 Cl 2.81
La 0.6667 0.3333 0.7500  6 Cl 2.81
Cd 0.6667 0.3333 0.2500  6 Cl 2.68
Cd 0.3333 0.6667 0.7500  6 Cl 2.68
Cl 0.6592 0.6451 0.1291  1 Cd 2.68, 1 La 2.81, 1 Na 2.93
Cl 0.9859 0.3408 0.1291  1 Cd 2.68, 1 La 2.81, 1 Na 2.93
Cl 0.3408 0.9859 0.6291  1 Cd 2.68, 1 La 2.81, 1 Na 2.93
Cl 0.0141 0.6592 0.8709  1 Cd 2.68, 1 La 2.81, 1 Na 2.93
Cl 0.3549 0.3408 0.3709  1 Cd 2.68, 1 La 2.81, 1 Na 2.93
Cl 0.9859 0.6451 0.3709  1 Cd 2.68, 1 La 2.81, 1 Na 2.93
Cl 0.6451 0.9859 0.8709  1 Cd 2.68, 1 La 2.81, 1 Na 2.93
Cl 0.6592 0.0141 0.3709  1 Cd 2.68, 1 La 2.81, 1 Na 2.93
Cl 0.0141 0.3549 0.6291  1 Cd 2.68, 1 La 2.81, 1 Na 2.93
Cl 0.3549 0.0141 0.1291  1 Cd 2.68, 1 La 2.81, 1 Na 2.93
Cl 0.6451 0.6592 0.6291  1 Cd 2.68, 1 La 2.81, 1 Na 2.93
Cl 0.3408 0.3549 0.8709  1 Cd 2.68, 1 La 2.81, 1 Na 2.93

Computed properties:
Uncorrected formation energy in kJ/mol of atoms: -173.9

***

Entry 4:
Here is a relaxed structure of La6CdOs2Cl3 from Alexandria. Energies are from PBE-GGA.

Cell lengths 4.1680, 9.0894, 10.5012 Å; angles 105.56, 101.45, 90.00 degrees
With the nearest neighbours (Å) after each atom.
Fractional coordinates of all 12 atoms:
La 0.3343 0.8736 0.6685  2 Os 2.86, 1 Cl 3.13
La 0.6849 0.5759 0.3697  3 Os 2.90-2.92
La 0.6657 0.1264 0.3315  2 Os 2.86, 1 Cl 3.13
La 0.0344 0.2800 0.0687  1 Os 2.66
La 0.9656 0.7200 0.9313  1 Os 2.66
La 0.3151 0.4241 0.6303  3 Os 2.90-2.92
Cd 0.5000 0.0000 0.0000  6 La 3.21-3.29
Os 0.8314 0.6558 0.6627  6 La 2.66-2.92
Os 0.1686 0.3442 0.3372  6 La 2.66-2.92
Cl 0.5000 0.5000 0.0000  4 La 3.10
Cl 0.8203 0.1484 0.6407  5 La 3.13-3.33
Cl 0.1797 0.8516 0.3593  5 La 3.13-3.33

Computed properties:
Uncorrected formation energy in kJ/mol of atoms: -88.5

***

Entry 5:
Here is a relaxed structure of LaCdP2Cl from Alexandria. Energies are from PBE-GGA.

Cell lengths 5.6514, 5.6514, 5.4231 Å; angles 90.00, 90.00, 90.00 degrees
With the nearest neighbours (Å) after each atom.
Fractional coordinates of all 5 atoms:
Cl 0.0000 0.0000 0.5000  2 La 2.71
Cd 0.5000 0.5000 0.5000  8 P 3.92, 4 Cl 4.00
P 0.0000 0.5000 0.0000  2 La 2.83
P 0.5000 0.0000 0.0000  2 La 2.83
La 0.0000 0.0000 0.0000  2 Cl 2.71, 4 P 2.83

Computed properties:
ΔE to the lowest computed polymorph in kJ per mole of atoms: 31.56
Uncorrected formation energy in kJ/mol of atoms: 3.3

***

Entry 6:
Here is a relaxed structure of LaCdP2Cl from Alexandria. Energies are from PBE-GGA.

Cell lengths 4.9158, 4.9158, 5.2113 Å; angles 90.00, 90.00, 90.00 degrees
With the nearest neighbours (Å) after each atom.
Fractional coordinates of all 5 atoms:
Cl 0.0000 0.0000 0.5000  2 Cd 2.61
Cd 0.0000 0.0000 0.0000  4 P 2.46, 2 Cl 2.61
P 0.0000 0.5000 0.0000  2 Cd 2.46
P 0.5000 0.0000 0.0000  2 Cd 2.46
La 0.5000 0.5000 0.5000  4 Cl 3.48, 8 P 3.58

Computed properties:
ΔE to the lowest computed polymorph in kJ per mole of atoms: 0.00
Uncorrected formation energy in kJ/mol of atoms: -28.2

***

Entry 7:
Here is a relaxed structure of LaCdPCl2 from Alexandria. Energies are from PBE-GGA.

Cell lengths 5.4511, 5.4511, 5.8890 Å; angles 90.00, 90.00, 90.00 degrees
With the nearest neighbours (Å) after each atom.
Fractional coordinates of all 5 atoms:
Cl 0.0000 0.5000 0.0000  2 La 2.73
Cl 0.5000 0.0000 0.0000  2 La 2.73
Cd 0.5000 0.5000 0.5000  4 P 3.85, 8 Cl 4.01
P 0.0000 0.0000 0.5000  2 La 2.94
La 0.0000 0.0000 0.0000  4 Cl 2.73, 2 P 2.94

Computed properties:
ΔE to the lowest computed polymorph in kJ per mole of atoms: 0.00
Uncorrected formation energy in kJ/mol of atoms: -81.9

***

Entry 8:
Here is a relaxed structure of LaCdPCl2 from Alexandria. Energies are from PBE-GGA.

Cell lengths 4.9742, 4.9742, 5.3625 Å; angles 90.00, 90.00, 90.00 degrees
With the nearest neighbours (Å) after each atom.
Fractional coordinates of all 5 atoms:
Cl 0.0000 0.5000 0.0000  2 Cd 2.49
Cl 0.5000 0.0000 0.0000  2 Cd 2.49
Cd 0.0000 0.0000 0.0000  4 Cl 2.49, 2 P 2.68
P 0.0000 0.0000 0.5000  2 Cd 2.68
La 0.5000 0.5000 0.5000  4 P 3.52, 8 Cl 3.66

Computed properties:
ΔE to the lowest computed polymorph in kJ per mole of atoms: 9.73
Uncorrected formation energy in kJ/mol of atoms: -72.2

***

Entry 9:
Here is a relaxed structure of Rb2LaCdCl6 from Alexandria. Energies are from PBE-GGA.

Cell lengths 8.0316, 8.0316, 8.0303 Å; angles 59.99, 59.99, 90.00 degrees
With the nearest neighbours (Å) after each atom.
Fractional coordinates of all 10 atoms:
Cl 0.2443 0.2443 0.5115  1 La 2.77, 1 Cd 2.90
Cl 0.7557 0.7557 0.4885  1 La 2.77, 1 Cd 2.90
Cl 0.2441 0.2441 0.0000  1 La 2.77, 1 Cd 2.91
Cl 0.7559 0.7559 0.0000  1 La 2.77, 1 Cd 2.91
Cl 0.7559 0.2441 0.0000  1 La 2.77, 1 Cd 2.91
Cl 0.2441 0.7559 0.0000  1 La 2.77, 1 Cd 2.91
Cd 0.5000 0.5000 0.0000  6 Cl 2.90-2.91
Rb 0.7500 0.2500 0.5000  12 Cl 4.02
Rb 0.2500 0.7500 0.5000  12 Cl 4.02
La 0.0000 0.0000 0.0000  6 Cl 2.77

Computed properties:
Uncorrected formation energy in kJ/mol of atoms: -171.4

***

Entry 10:
Here is a relaxed structure of La6CdRu2Cl3 from Alexandria. Energies are from PBE-GGA.

Cell lengths 4.1117, 9.0989, 10.6044 Å; angles 105.81, 101.18, 90.00 degrees
With the nearest neighbours (Å) after each atom.
Fractional coordinates of all 12 atoms:
La 0.3357 0.8762 0.6714  2 Ru 2.86, 1 Cl 3.15
La 0.6865 0.5803 0.3730  3 Ru 2.90-2.92
La 0.6643 0.1238 0.3286  2 Ru 2.86, 1 Cl 3.15
La 0.0378 0.2833 0.0755  1 Ru 2.62
La 0.9622 0.7167 0.9245  1 Ru 2.62
La 0.3135 0.4197 0.6270  3 Ru 2.90-2.92
Cd 0.5000 0.0000 0.0000  6 La 3.22-3.29
Ru 0.8313 0.6550 0.6627  6 La 2.62-2.92
Ru 0.1687 0.3450 0.3373  6 La 2.62-2.92
Cl 0.5000 0.5000 0.0000  4 La 3.10
Cl 0.8183 0.1467 0.6367  5 La 3.15-3.30
Cl 0.1817 0.8533 0.3633  5 La 3.15-3.30

Computed properties:
Uncorrected formation energy in kJ/mol of atoms: -93.7

***

Entry 11:
Here is a relaxed structure of LaScCdCl2 from Alexandria. Energies are from PBE-GGA.

Cell lengths 5.2274, 6.3888, 5.2274 Å; angles 90.00, 90.00, 90.00 degrees
With the nearest neighbours (Å) after each atom.
Fractional coordinates of all 5 atoms:
Sc 0.5000 0.5000 0.5000  4 La 3.70, 8 Cl 4.13
Cl 0.0000 0.0000 0.5000  2 Cd 2.61
Cl 0.5000 0.0000 0.0000  2 Cd 2.61
Cd 0.0000 0.0000 0.0000  4 Cl 2.61
La 0.0000 0.5000 0.0000  2 Cd 3.19

Computed properties:
Uncorrected formation energy in kJ/mol of atoms: 11.3

***

Entry 12:
Here is a relaxed structure of La6CdTc2Cl3 from Alexandria. Energies are from PBE-GGA.

Cell lengths 4.1037, 9.2531, 10.4962 Å; angles 105.61, 101.27, 90.00 degrees
With the nearest neighbours (Å) after each atom.
Fractional coordinates of all 12 atoms:
La 0.3352 0.8809 0.6705  2 Tc 2.91, 1 Cl 3.05
La 0.6841 0.5743 0.3682  3 Tc 2.94-3.12, 2 Cl 3.27
La 0.6648 0.1191 0.3295  2 Tc 2.91, 1 Cl 3.05
La 0.0362 0.2822 0.0724  1 Tc 2.43
La 0.9638 0.7178 0.9276  1 Tc 2.43
La 0.3159 0.4257 0.6318  3 Tc 2.94-3.12, 2 Cl 3.27
Cd 0.5000 0.0000 0.0000  6 La 3.24-3.27
Tc 0.8416 0.6621 0.6832  1 La 2.43
Tc 0.1584 0.3379 0.3168  1 La 2.43
Cl 0.5000 0.5000 0.0000  4 La 3.11
Cl 0.8164 0.1514 0.6328  5 La 3.05-3.34
Cl 0.1836 0.8486 0.3672  5 La 3.05-3.34

Computed properties:
Uncorrected formation energy in kJ/mol of atoms: -77.0

***

What did the fourth record say?
Here is a relaxed structure of La6CdOs2Cl3 from Alexandria. Energies are from PBE-GGA.

Cell lengths 4.1680, 9.0894, 10.5012 Å; angles 105.56, 101.45, 90.00 degrees
With the nearest neighbours (Å) after each atom.
Fractional coordinates of all 12 atoms:
La 0.3343 0.8736 0.6685  2 Os 2.86, 1 Cl 3.13
La 0.6849 0.5759 0.3697  3 Os 2.90-2.92
La 0.6657 0.1264 0.3315  2 Os 2.86, 1 Cl 3.13
La 0.0344 0.2800 0.0687  1 Os 2.66
La 0.9656 0.7200 0.9313  1 Os 2.66
La 0.3151 0.4241 0.6303  3 Os 2.90-2.92
Cd 0.5000 0.0000 0.0000  6 La 3.21-3.29
Os 0.8314 0.6558 0.6627  6 La 2.66-2.92
Os 0.1686 0.3442 0.3372  6 La 2.66-2.92
Cl 0.5000 0.5000 0.0000  4 La 3.10
Cl 0.8203 0.1484 0.6407  5 La 3.13-3.33
Cl 0.1797 0.8516 0.3593  5 La 3.13-3.33

Computed properties:
Uncorrected formation energy in kJ/mol of atoms: -88.5

***

Q: Number 9 is which compound?
A: Rb2LaCdCl6